Computed, not measured: crystalline VPS at its relaxed geometry at the PBE level of DFT.

Cell and atoms, written as extended XYZ:
```
3
Lattice="-2.6301 1.5708 0.7293 0.1376 -1.6960 -2.6498 -1.8237 -4.2822 2.6461" Properties=species:S:1:pos:R:3 pbc="T T T"
V -2.3087 -0.9296 0.4751
P -1.9104 -3.2495 0.1095
S -0.0972 -0.2283 0.1411
```

formation energy without anion corrections	-472	meV/atom
E	-6.6904	eV/atom

=====

Computed, not measured: crystalline V4PS5 at its relaxed geometry at the PBE level of DFT.

Cell and atoms, written as extended XYZ:
```
10
Lattice="3.1643 0.0000 0.0000 0.0000 6.9108 0.5949 -1.5822 -1.2163 7.2923" Properties=species:S:1:pos:R:3 pbc="T T T"
S 1.5822 3.4554 0.2975
S 1.5822 0.2144 5.0673
S 0.0000 1.9487 2.7978
S 0.0000 5.4801 2.8199
S 1.5822 3.7457 5.0894
V 1.5822 4.0300 7.3004
V 0.0000 5.4760 5.1265
V 0.0000 1.6645 0.5868
V 1.5822 0.2185 2.7608
P 1.5822 0.0000 0.0000
```

formation energy without anion corrections	-727	meV/atom
E	-6.9796	eV/atom

=====

Computed, not measured: crystalline VPS2 at its relaxed geometry at the PBE level of DFT.

Cell and atoms, written as extended XYZ:
```
8
Lattice="6.0374 0.0000 0.0000 0.0000 6.0374 0.0000 3.0187 3.0187 4.3471" Properties=species:S:1:pos:R:3 pbc="T T T"
P 3.0187 3.0187 0.0000
P 3.0187 6.0374 2.1736
S 7.5468 7.7157 3.2603
S 4.6970 1.5094 1.0868
S 1.3404 4.5281 1.0868
S 4.5281 4.3591 3.2603
V 0.0000 0.0000 0.0000
V 6.0374 3.0187 2.1736
```

formation energy without anion corrections	139	meV/atom
E	-5.5567	eV/atom

=====

Computed, not measured: crystalline VPS3 at its relaxed geometry at the PBE level of DFT.

Cell and atoms, written as extended XYZ:
```
5
Lattice="-2.9988 3.1003 -1.1703 -1.8439 -2.8725 -2.8849 -2.7534 -1.4529 3.2065" Properties=species:S:1:pos:R:3 pbc="T T T"
S -1.3767 -0.7264 1.6033
S -1.4994 1.5501 -0.5851
S -0.9219 -1.4363 -1.4424
P 0.0000 0.0000 0.0000
V -3.7980 -0.6126 -0.4243
```

formation energy without anion corrections	467	meV/atom
E	-4.9154	eV/atom
E above lowest polymorph	90.84	kJ per mole of atoms